1.
Y3Al2Zn9: relaxed, GGA-PBE.

Calculated values
Symmetry ... Immm (71)

a b c (Å): 8.1625 8.1625 8.1625
angles (deg): 149.21 111.47 77.00
Sites, in units of the cell vectors:
Y 0.0000 0.0000 0.0000
Y 0.2955 0.2955 0.0000
Y 0.7045 0.7045 0.0000
Al 0.3076 0.5000 0.8076
Al 0.6924 0.5000 0.1924
Zn 0.0230 0.6592 0.3638
Zn 0.1390 0.8602 0.2788
Zn 0.2953 0.6592 0.6362
Zn 0.4186 0.1398 0.2788
Zn 0.5000 0.0000 0.5000
Zn 0.5814 0.8602 0.7212
Zn 0.7047 0.3408 0.3638
Zn 0.8610 0.1398 0.7212
Zn 0.9770 0.3408 0.6362


2.
YAl2Zn: relaxed, GGA-PBE.

Calculated values
Symmetry ... F-43m (216)

a b c (Å): 4.7798 4.7798 4.7798
angles (deg): 60.00 60.00 60.00
Sites, in units of the cell vectors:
Y 0.0000 0.0000 0.0000
Al 0.5000 0.5000 0.5000
Al 0.7500 0.7500 0.7500
Zn 0.2500 0.2500 0.2500


3.
Y5Al4Zn: relaxed, GGA-PBE.

Calculated values
Symmetry ... P4/mmm (123)

a b c (Å): 3.5923 3.5923 18.1074
angles (deg): 90.00 90.00 90.00
Sites, in units of the cell vectors:
Y 0.0000 0.0000 0.0000
Y 0.0000 0.0000 0.2007
Y 0.0000 0.0000 0.4029
Y 0.0000 0.0000 0.5971
Y 0.0000 0.0000 0.7993
Al 0.5000 0.5000 0.1002
Al 0.5000 0.5000 0.3023
Al 0.5000 0.5000 0.6977
Al 0.5000 0.5000 0.8998
Zn 0.5000 0.5000 0.5000


4.
YAl2Zn: relaxed, GGA-PBE.

Calculated values
Symmetry ... R3m (160)

a b c (Å): 9.6530 9.6530 9.6530
angles (deg): 18.80 18.80 18.80
Sites, in units of the cell vectors:
Y 0.0000 0.0000 0.0000
Al 0.2415 0.2415 0.2415
Al 0.4958 0.4958 0.4958
Zn 0.7563 0.7563 0.7563


5.
Y2AlZn: relaxed, GGA-PBE.

Calculated values
Energy relative to the lowest polymorph listed for this composition ... 196 meV per atom
Symmetry ... I-4m2 (119)

a b c (Å): 5.9507 5.9507 5.9507
angles (deg): 137.46 137.46 61.73
Sites, in units of the cell vectors:
Y 0.0000 0.0000 0.0000
Y 0.7500 0.2500 0.5000
Al 0.5000 0.5000 0.0000
Zn 0.2500 0.7500 0.5000


6.
Y2Al5Zn12: relaxed, GGA-PBE.

Calculated values
Symmetry ... R-3m (166)

a b c (Å): 6.8684 6.8684 6.8684
angles (deg): 82.87 82.87 82.87
Sites, in units of the cell vectors:
Y 0.1681 0.1681 0.1681
Y 0.8319 0.8319 0.8319
Al 0.0000 0.5000 0.5000
Al 0.4012 0.4012 0.4012
Al 0.5000 0.0000 0.5000
Al 0.5000 0.5000 0.0000
Al 0.5988 0.5988 0.5988
Zn 0.1464 0.1464 0.6634
Zn 0.1464 0.6634 0.1464
Zn 0.1969 0.5000 0.8031
Zn 0.1969 0.8031 0.5000
Zn 0.3366 0.8536 0.8536
Zn 0.5000 0.1969 0.8031
Zn 0.5000 0.8031 0.1969
Zn 0.6634 0.1464 0.1464
Zn 0.8031 0.1969 0.5000
Zn 0.8031 0.5000 0.1969
Zn 0.8536 0.3366 0.8536
Zn 0.8536 0.8536 0.3366


| no. | E_form (meV per atom) |
| --- | --- |
| 1 | -362 |
| 2 | -165 |
| 3 | -413 |
| 4 | 47 |
| 5 | -208 |
| 6 | -188 |